Compound: Mg4Si7
Source: the Alexandria database
Functional: PBE-GGA
Structure: optimized geometry

Results
Its energy above the lowest structure with this stoichiometry is 0.0216 eV/atom. The energy relative to the elements, uncorrected comes out at 0.1176 eV per atom. The calculation puts the volume at 395.6 Å³ per cell. As for the symmetry: Pm (6).

Geometry as POSCAR:
```
Mg4Si7
1.0
7.027 0.000 0.000
0.000 3.849 0.000
-2.726 0.000 14.626
Mg Si
8 14
direct
0.000 0.000 0.000
0.012 0.000 0.655
0.095 0.500 0.838
0.137 0.500 0.498
0.174 0.500 0.169
0.241 0.000 0.341
0.482 0.000 0.572
0.797 0.000 0.415
0.325 0.500 0.693
0.342 0.000 0.942
0.405 0.500 0.040
0.427 0.000 0.795
0.487 0.500 0.438
0.494 0.000 0.192
0.579 0.500 0.291
0.695 0.500 0.694
0.746 0.500 0.907
0.757 0.500 0.067
0.776 0.000 0.803
0.782 0.500 0.548
0.856 0.000 0.175
0.940 0.500 0.304
```


Compound: TlP3O
Source: the Alexandria database
Functional: PBE-GGA
Structure: optimized geometry

Results
Its energy above the lowest structure with this stoichiometry is 1.3208 eV/atom. The energy relative to the elements, uncorrected comes out at 1.9949 eV per atom. The calculation puts the volume at 139.7 Å³ per cell. As for the symmetry: Pm-3m (221).

Geometry as POSCAR:
```
TlP3O
1.0
5.188 0.000 0.000
0.000 5.188 0.000
0.000 0.000 5.188
Tl P O
1 3 1
direct
0.000 0.000 0.000
0.000 0.000 0.500
0.000 0.500 0.000
0.500 0.000 0.000
0.500 0.500 0.500
```